Record 1
VASP calculation (GGA-PBE) on a relaxed structure of MgTa2CrAu.

Computed properties:
- space-group type = P4/mmm (123)

a = 4.7304 Å, b = 4.4516 Å, c = 4.7304 Å
α = 90.00°, β = 90.00°, γ = 90.00°
Atoms (fractional coordinates):
Mg (0.0000, 0.0000, 0.0000)
Au (0.0000, 0.5000, 0.0000)
Cr (0.5000, 0.5000, 0.5000)
Ta (0.0000, 0.0000, 0.5000)
Ta (0.5000, 0.0000, 0.0000)


Record 2
VASP calculation (GGA-PBE) on a relaxed structure of MgCr2TcAu.

Computed properties:
- space-group type = P4/mmm (123)

a = 4.3438 Å, b = 4.4682 Å, c = 4.3438 Å
α = 90.00°, β = 90.00°, γ = 90.00°
Atoms (fractional coordinates):
Tc (0.0000, 0.5000, 0.0000)
Au (0.5000, 0.5000, 0.5000)
Cr (0.0000, 0.0000, 0.5000)
Mg (0.0000, 0.0000, 0.0000)
Cr (0.5000, 0.0000, 0.0000)


Record 3
VASP calculation (GGA-PBE) on a relaxed structure of Mn2CrAu.

Computed properties:
- space-group type = I-42d (122)

a = 3.6979 Å, b = 3.6979 Å, c = 8.7688 Å
α = 77.83°, β = 77.83°, γ = 90.00°
Atoms (fractional coordinates):
Mn (0.2099, 0.6250, 0.2500)
Au (0.7500, 0.2500, 0.5000)
Au (0.0000, 0.0000, 0.0000)
Mn (0.3750, 0.4599, 0.7500)
Mn (0.5401, 0.1250, 0.2500)
Mn (0.8750, 0.7901, 0.7500)
Cr (0.5000, 0.5000, 0.0000)
Cr (0.2500, 0.7500, 0.5000)


Record 4
VASP calculation (GGA-PBE) on a relaxed structure of MnCr2Au.

Computed properties:
- space-group type = P4/mmm (123)

a = 3.0084 Å, b = 3.0084 Å, c = 6.5296 Å
α = 90.00°, β = 90.00°, γ = 89.99°
Atoms (fractional coordinates):
Cr (0.0000, 0.0000, 0.0312)
Cr (0.0000, 0.0000, 0.4688)
Au (0.5000, 0.5000, 0.7500)
Mn (0.5000, 0.5000, 0.2500)


Record 5
VASP calculation (GGA-PBE) on a relaxed structure of Mn2CrAu.

Computed properties:
- space-group type = R3m (160)

a = 8.3732 Å, b = 8.3732 Å, c = 8.3732 Å
α = 19.85°, β = 19.85°, γ = 19.85°
Atoms (fractional coordinates):
Mn (0.0029, 0.0029, 0.0029)
Cr (0.7398, 0.7398, 0.7398)
Au (0.4998, 0.4998, 0.4998)
Mn (0.2575, 0.2575, 0.2575)


Record 6
VASP calculation (GGA-PBE) on a relaxed structure of MnCrAu.

Computed properties:
- space-group type = I4mm (107)

a = 3.1534 Å, b = 3.1490 Å, c = 5.0465 Å
α = 108.17°, β = 108.19°, γ = 90.02°
Atoms (fractional coordinates):
Mn (0.4288, 0.6323, 0.8529)
Au (0.7443, 0.9480, 0.4841)
Cr (0.0582, 0.2619, 0.1120)


Record 7
VASP calculation (GGA-PBE) on a relaxed structure of MnCr2Au.

Computed properties:
- space-group type = R3m (160)

a = 8.3445 Å, b = 8.3445 Å, c = 8.3445 Å
α = 19.64°, β = 19.64°, γ = 19.64°
Atoms (fractional coordinates):
Au (0.7494, 0.7494, 0.7494)
Cr (0.2536, 0.2536, 0.2536)
Cr (0.9883, 0.9883, 0.9883)
Mn (0.5087, 0.5087, 0.5087)


Record 8
VASP calculation (GGA-PBE) on a relaxed structure of MnCrAu3.

Computed properties:
- space-group type = Pm-3m (221)

a = 4.9109 Å, b = 4.9109 Å, c = 4.9109 Å
α = 90.00°, β = 90.00°, γ = 90.00°
Atoms (fractional coordinates):
Au (0.0000, 0.5000, 0.0000)
Au (0.5000, 0.0000, 0.0000)
Au (0.0000, 0.0000, 0.5000)
Cr (0.0000, 0.0000, 0.0000)
Mn (0.5000, 0.5000, 0.5000)


Number 1: energy of formation from the pure elements 2.000 eV/atom. Number 2: energy of formation from the pure elements 2.053 eV/atom. Number 3: energy of formation from the pure elements 0.803 eV/atom. Number 4: energy of formation from the pure elements 0.202 eV/atom. Number 5: energy of formation from the pure elements 0.311 eV/atom. Number 6: energy of formation from the pure elements 0.059 eV/atom. Number 7: energy of formation from the pure elements 0.334 eV/atom. Number 8: energy of formation from the pure elements 0.941 eV/atom.